(1)
Computed, not measured: a geometry-optimized Tb6Dy4Y structure at the PBE level of DFT.

Structure (POSCAR):
```
Tb6Dy4Y
1.0
2.8700 -4.8025 0.0000
2.8700 4.8025 0.0000
0.0000 0.0000 25.5659
Tb Dy Y
12 8 2
Direct
0.0000 0.0000 0.0000 Tb
0.0000 0.0000 0.5000 Tb
0.0365 0.9635 0.7500 Tb
0.3020 0.6980 0.1039 Tb
0.3020 0.6980 0.3961 Tb
0.3685 0.6315 0.6817 Tb
0.3685 0.6315 0.8183 Tb
0.6315 0.3685 0.1817 Tb
0.6315 0.3685 0.3183 Tb
0.6980 0.3020 0.6039 Tb
0.6980 0.3020 0.8961 Tb
0.9635 0.0365 0.2500 Tb
0.0389 0.9611 0.6218 Dy
0.0389 0.9611 0.8782 Dy
0.3477 0.6523 0.5431 Dy
0.3477 0.6523 0.9569 Dy
0.6523 0.3477 0.0431 Dy
0.6523 0.3477 0.4569 Dy
0.9611 0.0389 0.1218 Dy
0.9611 0.0389 0.3782 Dy
0.2992 0.7008 0.2500 Y
0.7008 0.2992 0.7500 Y
```

Values from the calculation:
ΔE_f ... 0.126 eV per atom
Polymorph energy (0 for the lowest one) ... 0.00 eV per formula unit
SG ... Cmcm, No. 63
DOS at the Fermi energy ... 1.864 states/eV per atom

(2)
Computed, not measured: a geometry-optimized TbDyYZn structure at the PBE level of DFT.

Structure (POSCAR):
```
TbDyYZn
1.0
3.5723 0.0000 0.0000
0.0000 3.5723 0.0000
0.0000 0.0000 8.6318
Tb Dy Y Zn
1 1 1 1
Direct
0.0000 0.0000 0.0000 Tb
0.5000 0.5000 0.2915 Dy
0.5000 0.5000 0.7037 Y
0.0000 0.0000 0.4969 Zn
```

Values from the calculation:
ΔE_f ... -0.162 eV per atom
SG ... P4mm, No. 99
DOS at the Fermi energy ... 1.123 states/eV per atom

(3)
Computed, not measured: a geometry-optimized Tb3Dy2Y6Zr structure at the PBE level of DFT.

Structure (POSCAR):
```
Tb3Dy2Y6Zr
1.0
3.0583 -5.2886 0.0000
3.0583 5.2886 0.0000
-2.0228 0.0000 11.5031
Tb Dy Y Zr
3 2 6 1
Direct
0.0000 0.0000 0.0000 Tb
0.3335 0.6665 0.0000 Tb
0.6665 0.3335 0.0000 Tb
0.1668 0.8332 0.5000 Dy
0.8332 0.1668 0.5000 Dy
0.0916 0.4185 0.2555 Y
0.2548 0.2548 0.7441 Y
0.4185 0.0916 0.2555 Y
0.5815 0.9084 0.7445 Y
0.7452 0.7452 0.2559 Y
0.9084 0.5815 0.7445 Y
0.5000 0.5000 0.5000 Zr
```

Values from the calculation:
ΔE_f ... 0.049 eV per atom
SG ... C2/m, No. 12
DOS at the Fermi energy ... 1.326 states/eV per atom

(4)
Computed, not measured: a geometry-optimized Tb6Dy2Y3Zr structure at the PBE level of DFT.

Structure (POSCAR):
```
Tb6Dy2Y3Zr
1.0
3.0545 -5.2813 0.0000
3.0545 5.2813 0.0000
-2.0155 0.0000 11.4990
Tb Dy Y Zr
6 2 3 1
Direct
0.0815 0.4086 0.7438 Tb
0.2453 0.2453 0.2567 Tb
0.4086 0.0815 0.7438 Tb
0.5914 0.9185 0.2562 Tb
0.7547 0.7547 0.7433 Tb
0.9185 0.5914 0.2562 Tb
0.3332 0.6668 0.5000 Dy
0.6668 0.3332 0.5000 Dy
0.1665 0.8335 0.0000 Y
0.5000 0.5000 0.0000 Y
0.8335 0.1665 0.0000 Y
0.0000 0.0000 0.5000 Zr
```

Values from the calculation:
ΔE_f ... 0.045 eV per atom
SG ... C2/m, No. 12
DOS at the Fermi energy ... 1.283 states/eV per atom

(5)
Computed, not measured: a geometry-optimized Tb6Dy3Y2Zr structure at the PBE level of DFT.

Structure (POSCAR):
```
Tb6Dy3Y2Zr
1.0
3.0544 -5.2804 0.0000
3.0544 5.2804 0.0000
-2.0130 0.0000 11.4783
Tb Dy Y Zr
6 3 2 1
Direct
0.0817 0.4081 0.7458 Tb
0.2443 0.2443 0.2548 Tb
0.4081 0.0817 0.7458 Tb
0.5919 0.9183 0.2542 Tb
0.7557 0.7557 0.7452 Tb
0.9183 0.5919 0.2542 Tb
0.1665 0.8335 0.0000 Dy
0.5000 0.5000 0.0000 Dy
0.8335 0.1665 0.0000 Dy
0.3331 0.6669 0.5000 Y
0.6669 0.3331 0.5000 Y
0.0000 0.0000 0.5000 Zr
```

Values from the calculation:
ΔE_f ... 0.044 eV per atom
SG ... C2/m, No. 12
DOS at the Fermi energy ... 1.249 states/eV per atom

(6)
Computed, not measured: a geometry-optimized TbDyZn structure at the PBE level of DFT.

Structure (POSCAR):
```
TbDyZn
1.0
3.5837 0.0000 0.0000
0.0000 3.5837 0.0000
0.0000 0.0000 12.1610
Tb Dy Zn
2 2 2
Direct
0.0000 0.0000 0.0000 Tb
0.5000 0.5000 0.5000 Tb
0.0000 0.0000 0.7115 Dy
0.5000 0.5000 0.2115 Dy
0.0000 0.0000 0.3544 Zn
0.5000 0.5000 0.8544 Zn
```

Values from the calculation:
ΔE_f ... -0.213 eV per atom
Polymorph energy (0 for the lowest one) ... 0.00 eV per formula unit
SG ... I4mm, No. 107
DOS at the Fermi energy ... 1.316 states/eV per atom